NbMoF2 | GGA+U | optimized geometry

a b c (Å): 8.3708 8.3708 8.3708
angles (deg): 20.09 20.09 20.09
Sites, in units of the cell vectors:
Mo 0.5000 0.5000 0.5000
Nb 0.0000 0.0000 0.0000
F 0.9143 0.9143 0.9143
F 0.0857 0.0857 0.0857

Calculated values
Crystal system: trigonal
Calculated volume, A^3/atom: 15.13
Energy relative to the lowest polymorph listed for this composition, meV/atom: 0
DOS(E_F), states/eV per atom: 0.54